1.
An optimized crystal structure of RuRh2Cl. Source: Alexandria, functional GGA-PBE.

Results
Crystal system: tetragonal
Polymorph energy (0 for the lowest one) (meV per atom): 414.0
Space group: P4/mmm, No. 123
Uncorrected formation energy (meV/atom): 709.2

Cell: 4.659 4.659 2.768 Å, 90.00 90.00 90.00°
Site moments in Bohr magnetons follow the coordinates.
Atoms (fractional coordinates):
Rh (0.500, 0.500, 0.000)  0.23
Ru (0.500, 0.000, 0.500)  0.75
Rh (0.000, 0.000, 0.000)  0.23
Cl (0.000, 0.500, 0.500)  0.03

***

2.
An optimized crystal structure of CrPt2PbBr. Source: Alexandria, functional GGA-PBE.

Results
Crystal system: tetragonal
Space group: P4/mmm, No. 123
Uncorrected formation energy (meV/atom): 1182.5

Cell: 5.092 5.501 5.092 Å, 90.00 90.00 90.00°
Site moments in Bohr magnetons follow the coordinates.
Atoms (fractional coordinates):
Pt (0.500, 0.000, 0.000)  -0.09
Br (0.500, 0.500, 0.500)  -0.12
Cr (0.000, 0.500, 0.000)  4.03
Pb (0.000, 0.000, 0.000)  -0.02
Pt (0.000, 0.000, 0.500)  -0.06